Entry 1:
Below is a relaxed YbC2 crystal, with properties calculated at the GGA-PBE level.

Cell lengths 4.108, 4.108, 4.108 Å; angles 125.60, 125.60, 80.54 degrees
Site moments in Bohr magnetons follow the coordinates.
Sites, in units of the cell vectors:
C  0.602  0.602  0.000  0.00
C  0.398  0.398  0.000  0.00
Yb  0.000  0.000  0.000  0.26

Values from the calculation:
SG: I4/mmm, No. 139
Crystal system: tetragonal

---

Entry 2:
Below is a relaxed ZnC crystal, with properties calculated at the GGA-PBE level.

Cell lengths 6.359, 6.359, 6.359 Å; angles 90.00, 90.00, 90.00 degrees
Sites, in units of the cell vectors:
Zn  0.331  0.331  0.331
Zn  0.331  0.669  0.669
Zn  0.669  0.331  0.669
Zn  0.669  0.669  0.331
Zn  0.831  0.831  0.831
Zn  0.831  0.169  0.169
Zn  0.169  0.831  0.169
Zn  0.169  0.169  0.831
C  0.156  0.156  0.156
C  0.156  0.844  0.844
C  0.844  0.156  0.844
C  0.844  0.844  0.156
C  0.656  0.656  0.656
C  0.656  0.344  0.344
C  0.344  0.656  0.344
C  0.344  0.344  0.656

Values from the calculation:
Polymorph energy (0 for the lowest one) (meV/atom): 1673
SG: I-43m, No. 217
Crystal system: cubic

---

| no. | energy relative to the elements (eV/atom) | E (eV/cell) |
| --- | --- | --- |
| 1 | -0.073 | -20.19 |
| 2 | 1.755 | -55.90 |